# 1
Computed, not measured: SrLi2Sc after structural relaxation at the PBE level of DFT.

Values from the calculation:
D(E_F)   5.37 states/eV per cell
Total magnetization   0.000 μB per atom
Volume   113.5 Å³ per cell

Cell lengths 5.4343, 5.4343, 5.4343 Å; angles 60.00, 60.00, 60.00 degrees
Atoms (fractional coordinates):
Sc 0.0000 0.0000 0.0000
Sr 0.5000 0.5000 0.5000
Li 0.2500 0.2500 0.2500
Li 0.7500 0.7500 0.7500


# 2
Computed, not measured: SrLi2Sc after structural relaxation at the PBE level of DFT.

Values from the calculation:
D(E_F)   4.34 states/eV per cell
Total magnetization   0.182 μB per atom
Volume   117.3 Å³ per cell

Cell lengths 10.9244, 10.9244, 10.9244 Å; angles 18.72, 18.72, 18.72 degrees
Last column: magnetic moment on the atom in μB.
Atoms (fractional coordinates):
Li 0.9893 0.9893 0.9893  0.00
Li 0.2526 0.2526 0.2526  0.00
Sc 0.5097 0.5097 0.5097  0.34
Sr 0.7484 0.7484 0.7484  0.05


# 3
Computed, not measured: Sr2LiSc after structural relaxation at the PBE level of DFT.

Values from the calculation:
D(E_F)   3.96 states/eV per cell
Total magnetization   0.000 μB per atom
Volume   150.0 Å³ per cell

Cell lengths 5.9635, 5.9635, 5.9635 Å; angles 60.00, 60.00, 60.00 degrees
Atoms (fractional coordinates):
Sc 0.5000 0.5000 0.5000
Sr 0.2500 0.2500 0.2500
Sr 0.7500 0.7500 0.7500
Li 0.0000 0.0000 0.0000


# 4
Computed, not measured: Sr2LiSc after structural relaxation at the PBE level of DFT.

Values from the calculation:
D(E_F)   6.07 states/eV per cell
Total magnetization   0.229 μB per atom
Volume   150.9 Å³ per cell

Cell lengths 6.2863, 6.2863, 6.7780 Å; angles 79.03, 79.03, 35.09 degrees
Last column: magnetic moment on the atom in μB.
Atoms (fractional coordinates):
Li 0.7500 0.7500 0.7500  0.01
Sc 0.2500 0.2500 0.2500  0.38
Sr 0.0052 0.0052 0.0022  0.03
Sr 0.4948 0.4948 0.4978  0.03


# 5
Computed, not measured: SrLiSc2 after structural relaxation at the PBE level of DFT.

Values from the calculation:
D(E_F)   6.95 states/eV per cell
Total magnetization   0.234 μB per atom
Volume   114.7 Å³ per cell

Cell lengths 11.3337, 11.3337, 11.3337 Å; angles 17.48, 17.48, 17.48 degrees
Last column: magnetic moment on the atom in μB.
Atoms (fractional coordinates):
Li 0.7500 0.7500 0.7500  0.02
Sc 0.0098 0.0098 0.0098  0.21
Sc 0.4902 0.4902 0.4902  0.21
Sr 0.2500 0.2500 0.2500  0.03


# 6
Computed, not measured: SrLiSc after structural relaxation at the PBE level of DFT.

Values from the calculation:
D(E_F)   5.72 states/eV per cell
Total magnetization   0.425 μB per atom
Volume   120.7 Å³ per cell

Cell lengths 5.5478, 5.5478, 5.5478 Å; angles 60.00, 60.00, 60.00 degrees
Last column: magnetic moment on the atom in μB.
Atoms (fractional coordinates):
Li 0.0000 0.0000 0.0000  0.01
Sc 0.5000 0.5000 0.5000  0.60
Sr 0.7500 0.7500 0.7500  0.07


| no. | offset from the most stable computed form (meV per atom) | calculated formation energy (meV per atom) |
| --- | --- | --- |
| 1 | 46 | 239 |
| 2 | 83 | 277 |
| 3 | 89 | 299 |
| 4 | 143 | 354 |
| 5 | 199 | 388 |
| 6 | 741 | 967 |